(1)
VASP calculation (PBE) on LaAs4Pb after structural relaxation.

Computed properties:
Energy relative to the elements = -239 meV per atom
Calculated total energy = -4.778 eV per atom

Unit cell a=8.2286 b=8.2286 c=8.2286 alpha=90.00 beta=90.00 gamma=90.00
Closest atoms and distances in Å follow each position.
Space group F-43m (No. 216)
Unique sites:
La 0.0000 0.0000 0.0000  12 As 3.42, 4 Pb 3.56
As 0.1230 0.1230 0.3770  6 As 2.86-2.96
Pb 0.2500 0.2500 0.7500  12 As 3.41, 4 La 3.56



(2)
VASP calculation (PBE) on Nd6Sm12Y after structural relaxation.

Computed properties:
Energy relative to the elements = 410 meV per atom
Distance to the lowest polymorph of the same formula = 274 meV/atom
Calculated total energy = -4.416 eV per atom

Unit cell a=15.7504 b=15.7504 c=9.6341 alpha=90.00 beta=90.00 gamma=120.00
Closest atoms and distances in Å follow each position.
Space group R-3m (No. 166, hexagonal axes)
Unique sites:
Nd 0.0344 0.5172 0.1869  1 Sm 2.99
Sm 0.0000 0.3938 0.5000  3 Sm 3.34-3.61, 4 Nd 3.37-3.48
Sm 0.0675 0.1351 0.3136  1 Nd 2.99, 2 Sm 3.19
Y 0.0000 0.0000 0.0000  6 Sm 3.54



(3)
VASP calculation (PBE) on K2NbHN after structural relaxation.

Computed properties:
Calculated total energy = -3.409 eV per atom

Unit cell a=6.3404 b=6.3404 c=2.7628 alpha=90.00 beta=90.00 gamma=90.00
Closest atoms and distances in Å follow each position.
Space group P4/mmm (No. 123)
Unique sites:
K 0.0000 0.5000 0.0000  2 K 2.76
Nb 0.0000 0.0000 0.5000  2 Nb 2.76
H 0.5000 0.5000 0.5000  2 N 1.38
N 0.5000 0.5000 0.0000  2 H 1.38



(4)
VASP calculation (PBE) on SrZnBr2 after structural relaxation.

Computed properties:
Formation energy (no corrections) = -1320 meV per atom
Distance to the lowest polymorph of the same formula = 1 meV/atom
Calculated total energy = -2.895 eV per atom

Unit cell a=4.5792 b=4.5792 c=34.8153 alpha=90.00 beta=90.00 gamma=120.00
Closest atoms and distances in Å follow each position.
Space group R-3m (No. 166, hexagonal axes)
Unique sites:
Sr 0.0000 0.0000 0.0000  6 Br 3.08
Zn 0.0000 0.0000 0.5000  2 Br 4.22, 6 Zn 4.58
Br 0.0000 0.0000 0.3787  3 Sr 3.08



(5)
VASP calculation (PBE) on Ho3ErTl after structural relaxation.

Computed properties:
Energy relative to the elements = -41 meV per atom
Distance to the lowest polymorph of the same formula = 77 meV/atom
Calculated total energy = -4.173 eV per atom

Unit cell a=14.4966 b=13.0788 c=6.4993 alpha=90.00 beta=103.98 gamma=90.00
Closest atoms and distances in Å follow each position.
Space group C2/c (No. 15)
Unique sites:
Ho 0.0966 0.1895 0.4780  2 Tl 3.14-3.46, 3 Ho 3.25-3.50, 3 Er 3.36-3.50
Ho 0.1888 0.3116 0.1415  6 Ho 3.25-3.61, 2 Tl 3.27-3.29, 2 Er 3.53-3.59
Ho 0.1979 0.4278 0.6424  3 Tl 3.35-3.72, 2 Er 3.36-3.59, 6 Ho 3.41-3.66
Er 0.1043 0.0669 0.9605  8 Ho 3.36-3.75, 4 Er 3.55-3.69
Tl 0.0000 0.3341 0.7500  6 Ho 3.14-3.35, 3 Tl 3.26-3.42
Tl 0.0000 0.4165 0.2500  3 Tl 3.26-3.42, 6 Ho 3.29-3.46



(6)
VASP calculation (PBE) on SrRu3 after structural relaxation.

Computed properties:
Energy relative to the elements = 893 meV per atom
Calculated total energy = -6.485 eV per atom

Unit cell a=6.5353 b=6.5353 c=6.5353 alpha=90.00 beta=90.00 gamma=90.00
Closest atoms and distances in Å follow each position.
Space group Fm-3m (No. 225)
Unique sites:
Sr 0.0000 0.0000 0.0000  8 Ru 2.83
Ru 0.0000 0.0000 0.5000  8 Ru 2.83
Ru 0.2500 0.2500 0.2500  4 Ru 2.83, 4 Sr 2.83